Compound: KBa3
Source: the Alexandria database
Functional: PBE
Structure: relaxed

abc: 6.4372 6.4372 6.4372
angles: 90.00 90.00 90.00
Fractional coordinates of all 4 atoms:
K1 0.0000 0.0000 0.0000
Ba1 0.0000 0.5000 0.5000
Ba2 0.5000 0.0000 0.5000
Ba3 0.5000 0.5000 0.0000

formation energy: 0.10 eV per atom
distance to the lowest polymorph of the same formula: 49 meV per atom

***

Compound: YFeSe3
Source: the Alexandria database
Functional: PBE
Structure: relaxed

abc: 5.4200 5.4200 5.4200
angles: 90.00 90.00 90.00
Fractional coordinates of all 5 atoms:
Y1 0.0000 0.0000 0.0000
Fe1 0.5000 0.5000 0.5000
Se1 0.0000 0.0000 0.5000
Se2 0.0000 0.5000 0.0000
Se3 0.5000 0.0000 0.0000

distance to the lowest polymorph of the same formula: 695 meV per atom
raw formation energy: 151 meV/atom

***

Compound: CaSnTeW2
Source: the Alexandria database
Functional: PBE
Structure: relaxed

abc: 5.0523 5.0523 5.7304
angles: 90.00 90.00 90.00
Fractional coordinates of all 5 atoms:
Ca1 0.0000 0.0000 0.0000
Sn1 0.5000 0.5000 0.5000
Te1 0.5000 0.5000 0.0000
W1 0.0000 0.5000 0.5000
W2 0.5000 0.0000 0.5000

raw formation energy: 1806 meV/atom

***

Compound: Pm6Ge5Cl
Source: the Alexandria database
Functional: PBE
Structure: relaxed

abc: 7.3777 7.3777 7.2990
angles: 99.72 99.72 120.31
Fractional coordinates of all 12 atoms:
Pm1 0.0814 0.4148 0.2459
Pm2 0.2500 0.2500 0.7489
Pm3 0.4148 0.0814 0.2459
Pm4 0.5852 0.9186 0.7541
Pm5 0.7500 0.7500 0.2511
Pm6 0.9186 0.5852 0.7541
Ge1 0.0000 0.0000 0.0000
Ge2 0.1667 0.8333 0.5000
Ge3 0.3372 0.6628 0.0000
Ge4 0.6628 0.3372 0.0000
Ge5 0.8333 0.1667 0.5000
Cl1 0.5000 0.5000 0.5000

raw formation energy: -932 meV/atom

***

Compound: Sc2CrOs
Source: the Alexandria database
Functional: PBE
Structure: relaxed

abc: 9.2542 9.2542 9.2542
angles: 18.69 18.69 18.69
Fractional coordinates of all 4 atoms:
Sc1 0.0000 0.0000 0.0000
Sc2 0.2258 0.2258 0.2258
Cr1 0.4792 0.4792 0.4792
Os1 0.7474 0.7474 0.7474

formation energy: 0.28 eV per atom
distance to the lowest polymorph of the same formula: 429 meV per atom

***

Compound: InCuTe2
Source: the Alexandria database
Functional: PBE
Structure: relaxed

abc: 4.2884 4.2884 7.9930
angles: 90.00 90.00 123.76
Fractional coordinates of all 4 atoms:
In1 0.0000 0.0000 0.0000
Cu1 0.0000 0.0000 0.5000
Te1 0.5000 0.5000 0.2942
Te2 0.5000 0.5000 0.7058

raw formation energy: 83 meV/atom

***

Summary of total moment in μB/atom
0.00; 0.78; 0.00; 0.00; 0.00; 0.00
(order as listed above)